Material: CuAg3
Method: DFT, PBE-GGA
State: optimized geometry

Calculated values
symmetry = P2_1/m
V = 132.1 Å³/cell
energy of formation = 0.059 eV per atom

abc: 7.060 2.887 7.069
angles: 90.00 113.53 90.00
Fractional coordinates of all 8 atoms:
1 Ag 0.206 0.750 0.084
2 Ag 0.926 0.750 0.300
3 Ag 0.319 0.250 0.470
4 Ag 0.681 0.750 0.530
5 Ag 0.794 0.250 0.916
6 Ag 0.074 0.250 0.700
7 Cu 0.558 0.250 0.163
8 Cu 0.442 0.750 0.837

---

Material: RbNaUSe3
Method: DFT, PBE-GGA
State: optimized geometry

Calculated values
electronic total energy = -61.726 eV/cell
symmetry = Cmcm
V = 372.1 Å³/cell

abc: 7.846 7.846 11.321
angles: 90.00 90.00 147.72
Fractional coordinates of all 12 atoms:
1 U 0.000 0.000 0.000
2 U 0.000 0.000 0.500
3 Se 0.377 0.623 0.474
4 Se 0.377 0.623 0.026
5 Se 0.051 0.949 0.250
6 Se 0.623 0.377 0.526
7 Se 0.623 0.377 0.974
8 Se 0.949 0.051 0.750
9 Rb 0.271 0.729 0.750
10 Rb 0.729 0.271 0.250
11 Na 0.443 0.557 0.250
12 Na 0.557 0.443 0.750

---

Material: Li2Pr2Zn15
Method: DFT, PBE-GGA
State: optimized geometry

Calculated values
electronic total energy = -37.631 eV/cell
symmetry = R-3m
V = 312.9 Å³/cell

abc: 6.831 6.831 6.831
angles: 83.38 83.38 83.38
Fractional coordinates of all 19 atoms:
1 Zn 0.293 0.000 0.707
2 Zn 0.293 0.707 0.000
3 Zn 0.349 0.841 0.349
4 Zn 0.707 0.293 0.000
5 Zn 0.651 0.159 0.651
6 Zn 0.651 0.651 0.159
7 Zn 0.349 0.349 0.841
8 Zn 0.000 0.000 0.500
9 Zn 0.000 0.500 0.000
10 Zn 0.000 0.293 0.707
11 Zn 0.841 0.349 0.349
12 Zn 0.500 0.000 0.000
13 Zn 0.159 0.651 0.651
14 Zn 0.707 0.000 0.293
15 Zn 0.000 0.707 0.293
16 Pr 0.339 0.339 0.339
17 Pr 0.661 0.661 0.661
18 Li 0.098 0.098 0.098
19 Li 0.902 0.902 0.902

---

The lowest V belongs to which entry?
CuAg3

---

Among the records above, which one has the highest V?
RbNaUSe3

---

Repeat the first record exactly.
Material: CuAg3
Method: DFT, PBE-GGA
State: optimized geometry

Calculated values
symmetry = P2_1/m
V = 132.1 Å³/cell
energy of formation = 0.059 eV per atom

abc: 7.060 2.887 7.069
angles: 90.00 113.53 90.00
Fractional coordinates of all 8 atoms:
1 Ag 0.206 0.750 0.084
2 Ag 0.926 0.750 0.300
3 Ag 0.319 0.250 0.470
4 Ag 0.681 0.750 0.530
5 Ag 0.794 0.250 0.916
6 Ag 0.074 0.250 0.700
7 Cu 0.558 0.250 0.163
8 Cu 0.442 0.750 0.837

---

Number 2 is which compound?
RbNaUSe3